1.
A plane-wave DFT calculation with GGA-PBE was carried out for an optimized crystal structure of Sr6Ga2H.

Unit cell a=7.2793 b=8.3701 c=10.6509 alpha=90.00 beta=91.32 gamma=90.00
Last column: nearest neighbours and their distance in Å.
Sites, in units of the cell vectors:
Sr 0.1231 0.0322 0.7454  1 H 2.76
Sr 0.8208 0.6722 0.9392  1 H 2.83
Sr 0.6231 0.4678 0.2454  1 H 2.76
Sr 0.6792 0.1722 0.5608  1 H 2.83
Sr 0.8769 0.9678 0.2546  1 H 2.76
Sr 0.8322 0.6801 0.5640  1 H 3.03, 1 Ga 3.27
Sr 0.6678 0.1801 0.9360  1 H 3.03, 1 Ga 3.27
Sr 0.1678 0.3199 0.4360  1 H 3.03, 1 Ga 3.27
Sr 0.3322 0.8199 0.0640  1 H 3.03, 1 Ga 3.27
Sr 0.3769 0.5322 0.7546  1 H 2.76
Sr 0.3208 0.8278 0.4392  1 H 2.83
Sr 0.1792 0.3278 0.0608  1 H 2.83
Ga 0.9591 0.3914 0.7534  6 Sr 3.24-3.41
Ga 0.4591 0.1086 0.2534  6 Sr 3.24-3.41
Ga 0.0409 0.6086 0.2466  6 Sr 3.24-3.41
Ga 0.5409 0.8914 0.7466  6 Sr 3.24-3.41
H 0.0000 0.0000 0.5000  6 Sr 2.76-3.03
H 0.5000 0.5000 0.0000  6 Sr 2.76-3.03

Output
- space group = P2_1/c
- ρ (g/cm3) = 3.4
- DFT total energy (eV/atom) = -2.429

---

2.
A plane-wave DFT calculation with GGA-PBE was carried out for an optimized crystal structure of TiZn2Pd2.

Unit cell a=7.3576 b=7.3576 c=2.8193 alpha=90.00 beta=90.00 gamma=90.00
Last column: nearest neighbours and their distance in Å.
Sites, in units of the cell vectors:
Pd 0.6778 0.8222 0.5000  6 Zn 2.52-2.65, 2 Pd 2.82
Pd 0.3222 0.1778 0.5000  6 Zn 2.52-2.65, 2 Pd 2.82
Pd 0.8222 0.3222 0.5000  6 Zn 2.52-2.65, 2 Pd 2.82
Pd 0.1778 0.6778 0.5000  6 Zn 2.52-2.65, 2 Pd 2.82
Ti 0.0000 0.0000 0.0000  2 Ti 2.82, 4 Zn 2.93, 8 Pd 3.05
Ti 0.5000 0.5000 0.0000  2 Ti 2.82, 4 Zn 2.93, 8 Pd 3.05
Zn 0.1213 0.3787 0.0000  6 Pd 2.52-2.65, 3 Zn 2.52-2.82
Zn 0.8787 0.6213 0.0000  6 Pd 2.52-2.65, 3 Zn 2.52-2.82
Zn 0.3787 0.8787 0.0000  6 Pd 2.52-2.65, 3 Zn 2.52-2.82
Zn 0.6213 0.1213 0.0000  6 Pd 2.52-2.65, 3 Zn 2.52-2.82

Output
- space group = P4/mbm
- E_form (eV/atom) = -0.39
- relative energy among the computed polymorphs (meV per atom) = 0
- ρ (g/cm3) = 8.5
- DFT total energy (eV/atom) = -4.557

---

3.
A plane-wave DFT calculation with GGA-PBE was carried out for an optimized crystal structure of Cs6Rb2Sb.

Unit cell a=10.7312 b=10.7119 c=15.2518 alpha=90.00 beta=90.02 gamma=90.00
Last column: nearest neighbours and their distance in Å.
Sites, in units of the cell vectors:
Cs 0.2404 0.2421 0.5001  1 Sb 3.66
Cs 0.4985 0.5000 0.7602  1 Sb 3.66
Cs 0.7600 0.2425 0.4999  1 Sb 3.66
Cs 0.2600 0.2575 0.9999  1 Sb 3.66
Cs 0.9985 0.0000 0.2602  1 Sb 3.66
Cs 0.7400 0.7425 0.0001  1 Sb 3.66
Cs 0.7596 0.7579 0.4999  1 Sb 3.66
Cs 0.2400 0.7575 0.5001  1 Sb 3.66
Cs 0.7404 0.2579 0.0001  1 Sb 3.66
Cs 0.0015 0.0000 0.7398  1 Sb 3.66
Cs 0.5015 0.5000 0.2398  1 Sb 3.66
Cs 0.2596 0.7421 0.9999  1 Sb 3.66
Rb 0.9984 0.5000 0.7521  12 Cs 5.36-5.40
Rb 0.0016 0.5000 0.2479  12 Cs 5.36-5.40
Rb 0.5016 0.0000 0.7479  12 Cs 5.36-5.40
Rb 0.4984 0.0000 0.2521  12 Cs 5.36-5.40
Sb 0.0000 0.0000 0.5000  6 Cs 3.66
Sb 0.5000 0.5000 0.0000  6 Cs 3.66

Output
- space group = C2/m
- ρ (g/cm3) = 2.1
- formation energy without anion corrections (eV/atom) = -0.137
- DFT total energy (eV/atom) = -1.379

---

4.
A plane-wave DFT calculation with GGA-PBE was carried out for an optimized crystal structure of TiTl3Pd12.

Unit cell a=4.0315 b=4.0315 c=16.3121 alpha=90.00 beta=90.00 gamma=90.00
Last column: nearest neighbours and their distance in Å.
Sites, in units of the cell vectors:
Pd 0.0000 0.5000 0.3720  8 Pd 2.85-2.92, 4 Tl 2.88-2.90
Pd 0.5000 0.5000 0.2422  4 Tl 2.85, 8 Pd 2.90-2.92
Pd 0.5000 0.5000 0.7578  4 Tl 2.85, 8 Pd 2.90-2.92
Pd 0.5000 0.5000 0.5000  4 Tl 2.85, 8 Pd 2.90
Pd 0.0000 0.5000 0.8858  8 Pd 2.74-2.90, 2 Ti 2.74, 2 Tl 2.95
Pd 0.0000 0.5000 0.1142  2 Ti 2.74, 8 Pd 2.74-2.90, 2 Tl 2.95
Pd 0.5000 0.0000 0.1142  8 Pd 2.74-2.90, 2 Ti 2.74, 2 Tl 2.95
Pd 0.0000 0.5000 0.6280  8 Pd 2.85-2.92, 4 Tl 2.88-2.90
Pd 0.5000 0.0000 0.3720  8 Pd 2.85-2.92, 4 Tl 2.88-2.90
Pd 0.5000 0.0000 0.8858  8 Pd 2.74-2.90, 2 Ti 2.74, 2 Tl 2.95
Pd 0.5000 0.5000 0.0000  8 Pd 2.74, 4 Ti 2.85
Pd 0.5000 0.0000 0.6280  8 Pd 2.85-2.92, 4 Tl 2.88-2.90
Tl 0.0000 0.0000 0.5000  12 Pd 2.85-2.90
Tl 0.0000 0.0000 0.7538  12 Pd 2.85-2.95
Tl 0.0000 0.0000 0.2462  12 Pd 2.85-2.95
Ti 0.0000 0.0000 0.0000  12 Pd 2.74-2.85

Output
- space group = P4/mmm
- E_form (eV/atom) = -0.32
- ρ (g/cm3) = 12.1
- DFT total energy (eV/atom) = -5.149

---

5.
A plane-wave DFT calculation with GGA-PBE was carried out for an optimized crystal structure of Hf2TePW.

Unit cell a=5.1688 b=4.9253 c=5.1688 alpha=90.00 beta=90.00 gamma=90.00
Last column: nearest neighbours and their distance in Å.
Sites, in units of the cell vectors:
W 0.0000 0.0000 0.0000  2 Te 2.46, 4 Hf 2.58
P 0.5000 0.5000 0.5000  8 Hf 3.57, 4 Te 3.65
Hf 0.0000 0.0000 0.5000  2 W 2.58
Hf 0.5000 0.0000 0.0000  2 W 2.58
Te 0.0000 0.5000 0.0000  2 W 2.46

Output
- space group = P4/mmm
- ρ (g/cm3) = 8.8
- formation energy without anion corrections (eV/atom) = 1.021
- DFT total energy (eV/atom) = -7.262

---

6.
A plane-wave DFT calculation with GGA-PBE was carried out for an optimized crystal structure of Pr5Er3Bi8.

Unit cell a=9.1443 b=9.1443 c=9.1403 alpha=59.99 beta=59.99 gamma=60.00
Last column: nearest neighbours and their distance in Å.
Sites, in units of the cell vectors:
Bi 0.7500 0.7500 0.2586  2 Er 3.18, 4 Pr 3.23-3.29
Bi 0.2414 0.7500 0.2586  2 Er 3.18, 4 Pr 3.23-3.29
Bi 0.2500 0.7586 0.7414  2 Er 3.18, 4 Pr 3.23-3.29
Bi 0.2457 0.2457 0.2629  3 Er 3.18, 3 Pr 3.29
Bi 0.7586 0.2500 0.7414  2 Er 3.18, 4 Pr 3.23-3.29
Bi 0.7543 0.7543 0.7371  3 Er 3.18, 3 Pr 3.29
Bi 0.2500 0.2500 0.7414  2 Er 3.18, 4 Pr 3.23-3.29
Bi 0.7500 0.2414 0.2586  2 Er 3.18, 4 Pr 3.23-3.29
Er 0.0000 0.0000 0.5000  6 Bi 3.18
Er 0.0000 0.5000 0.5000  6 Bi 3.18
Er 0.5000 0.0000 0.5000  6 Bi 3.18
Pr 0.5000 0.5000 0.0000  6 Bi 3.29
Pr 0.5000 0.0000 0.0000  6 Bi 3.29
Pr 0.5000 0.5000 0.5000  6 Bi 3.23
Pr 0.0000 0.0000 0.0000  6 Bi 3.23
Pr 0.0000 0.5000 0.0000  6 Bi 3.29

Output
- space group = R-3m
- E_form (eV/atom) = -0.90
- ρ (g/cm3) = 8.8
- DFT total energy (eV/atom) = -5.186

---

7.
A plane-wave DFT calculation with GGA-PBE was carried out for an optimized crystal structure of Rb3Np3MoS8.

Unit cell a=7.9214 b=7.9259 c=9.1042 alpha=115.84 beta=90.03 gamma=120.02
Last column: nearest neighbours and their distance in Å.
Sites, in units of the cell vectors:
Np 0.5000 0.0000 0.5000  6 S 2.75-2.76
Np 0.0000 0.5000 0.5000  6 S 2.76
Np 0.5000 0.5000 0.5000  6 S 2.75-2.76
S 0.7833 0.0352 0.3193  1 Mo 2.57, 2 Np 2.76
S 0.7301 0.4626 0.6949  3 Np 2.75-2.76
S 0.7832 0.5669 0.3192  1 Mo 2.57, 2 Np 2.76
S 0.7469 0.9638 0.6805  1 Mo 2.58, 2 Np 2.75
S 0.2699 0.5374 0.3051  3 Np 2.75-2.76
S 0.2167 0.9648 0.6807  1 Mo 2.57, 2 Np 2.76
S 0.2168 0.4331 0.6808  1 Mo 2.57, 2 Np 2.76
S 0.2531 0.0362 0.3195  1 Mo 2.58, 2 Np 2.75
Mo 0.0000 0.0000 0.5000  6 S 2.57-2.58
Rb 0.0000 0.0000 0.0000  6 S 3.32-3.35
Rb 0.0000 0.5000 0.0000  6 S 3.32-3.35
Rb 0.5000 0.5000 0.0000  6 S 3.31-3.35

Output
- space group = C2/m
- ρ (g/cm3) = 5.1
- formation energy without anion corrections (eV/atom) = -1.176
- DFT total energy (eV/atom) = -6.881

---

8.
A plane-wave DFT calculation with GGA-PBE was carried out for an optimized crystal structure of ErPaCo3.

Unit cell a=5.9517 b=6.0855 c=6.5002 alpha=63.04 beta=62.76 gamma=60.75
Last column: nearest neighbours and their distance in Å.
Sites, in units of the cell vectors:
Er 0.4999 0.5022 0.4156  7 Co 2.85-3.12
Er 0.5985 0.8871 0.8332  8 Co 2.96-3.22
Co 0.1049 0.3498 0.9262  1 Pa 2.25, 1 Co 2.35
Co 0.1851 0.7771 0.7704  5 Co 2.50-2.61, 1 Pa 2.51
Co 0.0460 0.0586 0.3743  1 Pa 2.23, 1 Co 2.34
Co 0.4386 0.0586 0.3740  1 Pa 2.22, 1 Co 2.34
Co 0.5369 0.3503 0.9259  1 Pa 2.25, 1 Co 2.35
Co 0.1105 0.4944 0.2027  1 Pa 2.25, 4 Co 2.35-2.52
Pa 0.9748 0.2657 0.7025  3 Co 2.25-2.51
Pa 0.8878 0.9058 0.2359  3 Co 2.22-2.25

Output
- space group = Cm
- E_form (eV/atom) = -0.18
- relative energy among the computed polymorphs (meV per atom) = 125
- ρ (g/cm3) = 10.9
- DFT total energy (eV/atom) = -7.256